Here is a relaxed Li5Cr4O8 crystal from Alexandria via LeMat-Bulk. Energies are from PBE+U.

```
data_Li5Cr4O8
_chemical_formula_sum 'Li20 Cr16 O32'
_symmetry_space_group_name_H-M 'P 21 21 21'
_symmetry_Int_Tables_number 19
_cell_length_a 8.353
_cell_length_b 8.427
_cell_length_c 8.867
_cell_angle_alpha 90.00
_cell_angle_beta 90.00
_cell_angle_gamma 90.00
loop_
_symmetry_equiv_pos_as_xyz
'x,y,z'
'-x+1/2,-y,z+1/2'
'x+1/2,-y+1/2,-z'
'-x,y+1/2,-z+1/2'
loop_
_atom_site_label
_atom_site_type_symbol
_atom_site_fract_x
_atom_site_fract_y
_atom_site_fract_z
_atom_site_occupancy
Li1 Li 0.007 0.010 0.008 1
Li2 Li 0.128 0.863 0.841 1
Li3 Li 0.142 0.158 0.163 1
Li4 Li 0.143 0.630 0.662 1
Li5 Li 0.149 0.355 0.369 1
Cr1 Cr 0.125 0.370 0.879 1
Cr2 Cr 0.125 0.877 0.368 1
Cr3 Cr 0.126 0.626 0.125 1
Cr4 Cr 0.127 0.124 0.617 1
O1 O 0.114 0.622 0.891 1
O2 O 0.118 0.388 0.143 1
O3 O 0.122 0.118 0.384 1
O4 O 0.122 0.638 0.357 1
O5 O 0.126 0.879 0.605 1
O6 O 0.128 0.120 0.851 1
O7 O 0.132 0.368 0.607 1
O8 O 0.132 0.871 0.135 1
```

Summary:
- E: -6.576 eV per atom
- Calculated density: 3.94 g/cm3